[1]
{"formula": "RbYMo2O8", "functional": "PBEsol", "state": "optimized geometry", "lattice_angstrom": [[-6.047, -0.799, 4.176], [4.028, -2.473, 5.684], [-0.341, 3.859, 6.565]], "species": ["O", "O", "Rb", "O", "Mo", "O", "Y", "Y", "Mo", "O", "O", "O", "O", "O", "Mo", "O", "O", "O", "Mo", "O", "O", "Rb", "O", "O"], "fractional_positions": [[0.950, 0.794, 0.196], [0.206, 0.050, 0.304], [0.804, 0.196, 0.250], [0.367, 0.584, 0.470], [0.695, 0.696, 0.762], [0.235, 0.387, 0.937], [0.770, 0.230, 0.750], [0.230, 0.770, 0.250], [0.696, 0.695, 0.262], [0.614, 0.930, 0.126], [0.386, 0.070, 0.874], [0.765, 0.613, 0.063], [0.416, 0.633, 0.030], [0.613, 0.765, 0.563], [0.305, 0.304, 0.238], [0.633, 0.416, 0.530], [0.794, 0.950, 0.696], [0.584, 0.367, 0.970], [0.304, 0.305, 0.738], [0.050, 0.206, 0.804], [0.070, 0.386, 0.374], [0.196, 0.804, 0.750], [0.387, 0.235, 0.437], [0.930, 0.614, 0.626]], "raw_formation_energy_ev_per_fu": -29.47, "rho_g_cm3": 5.212, "dos_at_fermi_per_ev_cell": 0.00}



[2]
{"formula": "Rb3Zn3Mo4O16", "functional": "PBEsol", "state": "optimized geometry", "lattice_angstrom": [[-3.203, -7.236, 6.566], [0.318, -3.899, -9.509], [9.394, 3.178, 2.717]], "species": ["O", "Rb", "Zn", "O", "O", "Zn", "Zn", "Rb", "O", "O", "O", "Rb", "Mo", "O", "Zn", "Mo", "O", "O", "O", "O", "O", "Mo", "O", "O", "Mo", "Zn", "O", "O", "O", "Rb", "O", "O", "O", "Mo", "O", "Mo", "O", "O", "O", "Zn", "Rb", "Mo", "O", "O", "O", "O", "Mo", "O", "O", "Rb", "O", "O"], "fractional_positions": [[0.776, 0.643, 0.076], [0.375, 0.625, 0.750], [0.125, 0.250, 0.375], [0.643, 0.576, 0.276], [0.433, 0.857, 0.633], [0.375, 0.750, 0.125], [0.750, 0.625, 0.875], [0.125, 0.875, 0.250], [0.857, 0.133, 0.933], [0.724, 0.800, 0.867], [0.924, 0.067, 0.200], [0.875, 0.750, 0.625], [0.000, 0.500, 0.780], [0.224, 0.867, 0.800], [0.875, 0.125, 0.750], [0.220, 0.220, 0.720], [0.300, 0.224, 0.367], [0.567, 0.424, 0.700], [0.357, 0.933, 0.133], [0.576, 0.776, 0.143], [0.700, 0.924, 0.567], [0.500, 0.780, 0.500], [0.067, 0.700, 0.424], [0.000, 0.500, 0.112], [0.720, 0.720, 0.220], [0.250, 0.875, 0.625], [0.133, 0.433, 0.357], [0.200, 0.567, 0.924], [0.143, 0.276, 0.576], [0.625, 0.250, 0.875], [0.276, 0.076, 0.643], [0.867, 0.300, 0.724], [0.500, 0.112, 0.500], [0.280, 0.000, 0.000], [0.933, 0.633, 0.857], [0.780, 0.000, 0.000], [0.112, 0.000, 0.000], [0.500, 0.612, 0.500], [0.000, 0.500, 0.612], [0.625, 0.375, 0.250], [0.750, 0.125, 0.375], [0.500, 0.280, 0.500], [0.388, 0.388, 0.888], [0.800, 0.367, 0.224], [0.633, 0.357, 0.433], [0.076, 0.143, 0.776], [0.000, 0.500, 0.280], [0.424, 0.200, 0.067], [0.888, 0.888, 0.388], [0.250, 0.375, 0.125], [0.612, 0.000, 0.000], [0.367, 0.724, 0.300]], "raw_formation_energy_ev_per_fu": -48.59, "rho_g_cm3": 4.335, "dos_at_fermi_per_ev_cell": 17.49}



[3]
{"formula": "Rb8ZrMo6O24", "functional": "PBEsol", "state": "optimized geometry", "lattice_angstrom": [[-3.486, -7.005, 1.186], [6.814, -6.982, -1.677], [-0.880, 3.774, 9.929]], "species": ["Rb", "O", "O", "O", "O", "Rb", "O", "O", "O", "O", "O", "Rb", "O", "O", "O", "O", "O", "O", "O", "O", "Rb", "Mo", "O", "Rb", "Rb", "Rb", "Mo", "O", "O", "Zr", "O", "Mo", "O", "Mo", "O", "Mo", "O", "Rb", "Mo"], "fractional_positions": [[0.890, 0.516, 0.649], [0.807, 0.567, 0.149], [0.194, 0.068, 0.152], [0.525, 0.681, 0.708], [0.475, 0.027, 0.708], [0.345, 0.211, 0.000], [0.593, 0.353, 0.000], [0.033, 0.781, 0.000], [0.792, 0.071, 0.658], [0.208, 0.929, 0.342], [0.194, 0.916, 0.848], [0.655, 0.789, 0.000], [0.761, 0.225, 0.462], [0.407, 0.647, 0.000], [0.239, 0.775, 0.538], [0.193, 0.433, 0.851], [0.792, 0.413, 0.342], [0.806, 0.932, 0.848], [0.239, 0.237, 0.462], [0.525, 0.973, 0.292], [0.110, 0.133, 0.649], [0.705, 0.946, 0.688], [0.475, 0.319, 0.292], [0.890, 0.867, 0.351], [0.500, 0.340, 0.679], [0.500, 0.660, 0.321], [0.793, 0.391, 0.000], [0.761, 0.763, 0.538], [0.806, 0.084, 0.152], [0.000, 0.000, 0.000], [0.208, 0.587, 0.658], [0.295, 0.741, 0.688], [0.967, 0.219, 0.000], [0.295, 0.054, 0.312], [0.193, 0.582, 0.149], [0.705, 0.259, 0.312], [0.807, 0.418, 0.851], [0.110, 0.484, 0.351], [0.207, 0.609, 0.000]], "raw_formation_energy_ev_per_fu": -86.01, "rho_g_cm3": 4.078, "dos_at_fermi_per_ev_cell": 0.00}



[4]
{"formula": "MoRhO2", "functional": "PBEsol", "state": "optimized geometry", "lattice_angstrom": [[2.731, 0.000, 0.000], [1.366, 2.365, 0.000], [1.366, 0.788, 6.672]], "species": ["Rh", "O", "O", "Mo"], "fractional_positions": [[0.000, 0.000, 0.000], [0.901, 0.901, 0.298], [0.099, 0.099, 0.702], [0.500, 0.500, 0.500]], "raw_formation_energy_ev_per_fu": -4.71, "rho_g_cm3": 8.893, "dos_at_fermi_per_ev_cell": 2.50}



[5]
{"formula": "MoRuO3", "functional": "PBEsol", "state": "optimized geometry", "lattice_angstrom": [[3.865, 0.000, 0.000], [0.000, 3.865, 0.000], [0.000, 0.000, 3.865]], "species": ["O", "Ru", "Mo", "O", "O"], "fractional_positions": [[0.000, 0.000, 0.500], [0.500, 0.500, 0.500], [0.000, 0.000, 0.000], [0.000, 0.500, 0.000], [0.500, 0.000, 0.000]], "raw_formation_energy_ev_per_fu": -3.21, "rho_g_cm3": 7.048, "dos_at_fermi_per_ev_cell": 3.49}



[6]
{"formula": "MoRuO2", "functional": "PBEsol", "state": "optimized geometry", "lattice_angstrom": [[-2.209, 0.873, 1.412], [-1.369, -1.749, 1.644], [2.765, 1.429, 6.145]], "species": ["Ru", "O", "Mo", "O"], "fractional_positions": [[0.500, 0.500, 0.500], [0.898, 0.898, 0.306], [0.000, 0.000, 0.000], [0.102, 0.102, 0.694]], "raw_formation_energy_ev_per_fu": -2.13, "rho_g_cm3": 8.580, "dos_at_fermi_per_ev_cell": 3.48}



[7]
{"formula": "MoRu3O", "functional": "PBEsol", "state": "optimized geometry", "lattice_angstrom": [[-3.702, -2.391, -1.251], [2.669, -2.930, -2.296], [0.399, -2.584, 3.761]], "species": ["Ru", "O", "Mo", "Ru", "Ru"], "fractional_positions": [[0.000, 0.500, 0.000], [0.500, 0.500, 0.500], [0.000, 0.000, 0.000], [0.500, 0.000, 0.000], [0.000, 0.000, 0.500]], "raw_formation_energy_ev_per_fu": 11.80, "rho_g_cm3": 7.171, "dos_at_fermi_per_ev_cell": 5.03}



[8]
{"formula": "Mo2SO", "functional": "PBEsol", "state": "optimized geometry", "lattice_angstrom": [[4.042, 0.000, 0.000], [2.021, 3.501, 0.000], [2.021, 1.167, 3.301]], "species": ["Mo", "S", "O", "Mo"], "fractional_positions": [[0.250, 0.250, 0.250], [0.500, 0.500, 0.500], [0.000, 0.000, 0.000], [0.750, 0.750, 0.750]], "raw_formation_energy_ev_per_fu": -1.38, "rho_g_cm3": 8.531, "dos_at_fermi_per_ev_cell": 3.49}



[9]
{"formula": "MoSO6", "functional": "PBEsol", "state": "optimized geometry", "lattice_angstrom": [[-0.118, 7.424, -4.477], [-2.802, -6.167, -10.154], [-11.202, 1.600, 9.456]], "species": ["Mo", "O", "O", "Mo", "O", "O", "O", "O", "O", "S", "O", "O", "S", "O", "O", "O", "O", "Mo", "O", "O", "O", "S", "O", "O", "S", "O", "O", "O", "O", "O", "O", "Mo", "O", "O", "O", "O", "O", "O", "S", "S", "Mo", "O", "O", "Mo", "O", "O", "O", "O", "S", "S", "Mo", "Mo", "O", "O", "O", "O", "O", "O", "O", "O", "Mo", "Mo", "O", "O", "Mo", "O", "O", "S", "S", "S", "O", "O", "O", "O", "O", "S", "O", "O", "O", "O", "O", "O", "O", "O", "O", "O", "O", "O", "O", "Mo", "O", "O", "O", "O", "O", "O"], "fractional_positions": [[0.892, 0.298, 0.841], [0.522, 0.580, 0.955], [0.084, 0.028, 0.118], [0.762, 0.360, 0.488], [0.688, 0.907, 0.623], [0.601, 0.078, 0.861], [0.343, 0.174, 0.157], [0.188, 0.716, 0.623], [0.631, 0.638, 0.212], [0.683, 0.157, 0.575], [0.566, 0.302, 0.170], [0.231, 0.772, 0.465], [0.970, 0.929, 0.109], [0.934, 0.132, 0.830], [0.064, 0.095, 0.451], [0.812, 0.284, 0.377], [0.769, 0.228, 0.535], [0.095, 0.210, 0.167], [0.312, 0.093, 0.377], [0.901, 0.721, 0.236], [0.358, 0.958, 0.707], [0.759, 0.505, 0.755], [0.330, 0.197, 0.828], [0.843, 0.983, 0.157], [0.530, 0.820, 0.891], [0.657, 0.826, 0.843], [0.170, 0.368, 0.172], [0.434, 0.698, 0.830], [0.778, 0.175, 0.676], [0.899, 0.218, 0.139], [0.916, 0.972, 0.882], [0.738, 0.872, 0.512], [0.022, 0.374, 0.955], [0.085, 0.157, 0.998], [0.099, 0.279, 0.764], [0.584, 0.090, 0.118], [0.157, 0.017, 0.843], [0.763, 0.483, 0.651], [0.470, 0.180, 0.109], [0.259, 0.250, 0.755], [0.595, 0.957, 0.167], [0.642, 0.042, 0.293], [0.416, 0.910, 0.882], [0.905, 0.790, 0.833], [0.131, 0.574, 0.212], [0.670, 0.803, 0.172], [0.599, 0.485, 0.764], [0.323, 0.973, 0.500], [0.241, 0.495, 0.245], [0.317, 0.843, 0.425], [0.238, 0.640, 0.512], [0.108, 0.702, 0.159], [0.478, 0.420, 0.045], [0.401, 0.515, 0.236], [0.415, 0.159, 0.002], [0.585, 0.841, 0.998], [0.564, 0.356, 0.451], [0.066, 0.868, 0.170], [0.677, 0.027, 0.500], [0.783, 0.436, 0.128], [0.262, 0.128, 0.488], [0.392, 0.542, 0.841], [0.830, 0.632, 0.828], [0.717, 0.308, 0.872], [0.405, 0.043, 0.833], [0.731, 0.693, 0.465], [0.722, 0.499, 0.324], [0.030, 0.071, 0.891], [0.817, 0.582, 0.425], [0.183, 0.418, 0.575], [0.858, 0.749, 0.707], [0.436, 0.644, 0.549], [0.737, 0.832, 0.349], [0.237, 0.517, 0.349], [0.278, 0.501, 0.676], [0.741, 0.750, 0.245], [0.177, 0.473, 0.500], [0.915, 0.843, 0.002], [0.399, 0.922, 0.139], [0.263, 0.168, 0.651], [0.823, 0.527, 0.500], [0.522, 0.191, 0.575], [0.142, 0.251, 0.293], [0.022, 0.384, 0.575], [0.369, 0.362, 0.788], [0.869, 0.426, 0.788], [0.478, 0.809, 0.425], [0.222, 0.825, 0.324], [0.217, 0.564, 0.872], [0.608, 0.458, 0.159], [0.101, 0.782, 0.861], [0.978, 0.626, 0.045], [0.283, 0.692, 0.128], [0.978, 0.616, 0.425], [0.936, 0.905, 0.549], [0.269, 0.307, 0.535]], "raw_formation_energy_ev_per_fu": -12.57, "rho_g_cm3": 3.245, "dos_at_fermi_per_ev_cell": 0.00}



[10]
{"formula": "SbMoO2", "functional": "PBEsol", "state": "optimized geometry", "lattice_angstrom": [[5.980, 0.000, 0.000], [-2.990, 5.179, 0.267], [0.000, 3.192, 5.057]], "species": ["Mo", "O", "O", "Mo", "O", "O", "Sb", "Sb"], "fractional_positions": [[0.250, 0.500, 0.250], [0.875, 0.250, 0.374], [0.376, 0.750, 0.875], [0.500, 0.000, 0.500], [0.374, 0.750, 0.375], [0.375, 0.250, 0.376], [0.750, 0.500, 0.750], [0.000, 0.000, 0.000]], "raw_formation_energy_ev_per_fu": -3.25, "rho_g_cm3": 5.473, "dos_at_fermi_per_ev_cell": 5.19}



[11]
{"formula": "SbMoO3", "functional": "PBEsol", "state": "optimized geometry", "lattice_angstrom": [[-0.387, -2.160, 3.291], [3.333, 1.580, 1.429], [-2.095, 2.913, 1.665]], "species": ["Sb", "O", "O", "Mo", "O"], "fractional_positions": [[0.500, 0.500, 0.500], [0.500, 0.000, 0.000], [0.000, 0.500, 0.000], [0.000, 0.000, 0.000], [0.000, 0.000, 0.500]], "raw_formation_energy_ev_per_fu": -5.79, "rho_g_cm3": 7.129, "dos_at_fermi_per_ev_cell": 3.06}



[12]
{"formula": "SmSbMo2O9", "functional": "PBEsol", "state": "optimized geometry", "lattice_angstrom": [[9.638, 0.026, -0.025], [-0.931, 9.594, -0.025], [-4.031, -4.453, 8.969]], "species": ["O", "Sm", "O", "Sm", "O", "O", "O", "Mo", "Mo", "O", "O", "O", "O", "O", "O", "O", "O", "O", "O", "O", "Sb", "O", "Mo", "O", "O", "Sb", "Mo", "Sm", "O", "Mo", "O", "O", "O", "Sm", "O", "O", "O", "O", "O", "Sb", "Mo", "O", "O", "O", "O", "Mo", "O", "Mo", "O", "O", "Sb", "O"], "fractional_positions": [[0.095, 0.065, 0.402], [0.327, 0.673, 0.250], [0.873, 0.296, 0.938], [0.673, 0.327, 0.750], [0.539, 0.423, 0.898], [0.577, 0.461, 0.602], [0.089, 0.550, 0.244], [0.261, 0.049, 0.529], [0.436, 0.058, 0.197], [0.369, 0.209, 0.300], [0.619, 0.141, 0.224], [0.695, 0.024, 0.992], [0.221, 0.403, 0.075], [0.461, 0.577, 0.102], [0.296, 0.873, 0.438], [0.305, 0.976, 0.008], [0.450, 0.911, 0.256], [0.597, 0.779, 0.425], [0.935, 0.905, 0.098], [0.779, 0.597, 0.925], [0.380, 0.347, 0.963], [0.859, 0.381, 0.276], [0.058, 0.436, 0.697], [0.227, 0.054, 0.681], [0.791, 0.631, 0.200], [0.653, 0.620, 0.537], [0.564, 0.942, 0.803], [0.125, 0.875, 0.750], [0.911, 0.450, 0.756], [0.942, 0.564, 0.303], [0.127, 0.704, 0.062], [0.976, 0.305, 0.508], [0.024, 0.695, 0.492], [0.875, 0.125, 0.250], [0.905, 0.935, 0.598], [0.704, 0.127, 0.562], [0.141, 0.619, 0.724], [0.054, 0.227, 0.181], [0.209, 0.369, 0.800], [0.347, 0.380, 0.463], [0.049, 0.261, 0.029], [0.423, 0.539, 0.398], [0.773, 0.946, 0.319], [0.550, 0.089, 0.744], [0.403, 0.221, 0.575], [0.951, 0.739, 0.971], [0.631, 0.791, 0.700], [0.739, 0.951, 0.471], [0.381, 0.859, 0.776], [0.065, 0.095, 0.902], [0.620, 0.653, 0.037], [0.946, 0.773, 0.819]], "raw_formation_energy_ev_per_fu": -28.94, "rho_g_cm3": 4.881, "dos_at_fermi_per_ev_cell": 0.00}